A relaxed Zn2CrAsO crystal, computed with PBE+U.

Computed properties:
* VASP energy: -3.3748 eV/atom
* calculated density: 4.170 Mg/m³

abc: 4.6906 4.9545 4.6906
angles: 90.00 90.00 90.00
Sites, in units of the cell vectors:
Zn 0.5000 0.0000 0.0000
Zn 0.0000 0.0000 0.5000
Cr 0.0000 0.5000 0.0000
O 0.5000 0.5000 0.5000
As 0.0000 0.0000 0.0000